Compound: TePPt
Source: Alexandria
Functional: PBE
Structure: optimized geometry

Structure (POSCAR):
```
TePPt
1.0
6.2503 0.0000 0.0000
0.0000 6.2503 0.0000
0.0000 0.0000 6.2503
P Te Pt
4 4 4
direct
0.3849 0.3849 0.3849
0.1151 0.6151 0.8849
0.6151 0.8849 0.1151
0.8849 0.1151 0.6151
0.6234 0.6234 0.6234
0.8766 0.3766 0.1234
0.3766 0.1234 0.8766
0.1234 0.8766 0.3766
0.9725 0.9725 0.9725
0.5275 0.0275 0.4725
0.0275 0.4725 0.5275
0.4725 0.5275 0.0275
```

Values from the calculation:
The space-group type is No. 198. As for the formation energy without anion corrections: -32 kJ per mole of atoms. As for the distance to the lowest polymorph of the same formula: 0.0 meV/atom. As for the density of states at the Fermi level: 1.798 states/eV/f.u. Its spin magnetization is 0.00 μB per cell.